This record from Alexandria via LeMat-Bulk describes an optimized crystal structure of TbAgPt. The functional is GGA-PBE.

Cell lengths 3.4249, 4.6389, 4.6389 Å; angles 120.00, 90.00, 90.00 degrees
With the nearest neighbours (Å) after each atom.
Positions (direct):
Pt 0.1673 0.3333 0.6667  3 Ag 2.68
Tb 0.6665 0.6667 0.3333  6 Pt 3.18, 6 Ag 3.18, 2 Tb 3.42
Ag 0.1662 0.0000 0.0000  3 Pt 2.68

Calculated values
Density of states at the Fermi level = 1.68 states/eV/cell
Space-group type = P-6m2 (187)
Energy of formation from the pure elements = -0.63 eV per atom